Entry from the Alexandria database: LiFePO4 after structural relaxation (PBE with a Hubbard U).

a = 5.7183 Å, b = 11.0896 Å, c = 9.8913 Å
α = 90.00°, β = 92.09°, γ = 90.00°
Space group P2_1/c (No. 14)
Unique sites:
Li 0.0089 0.1566 0.3243 x4
Li 0.4747 0.6217 0.0570 x4
Fe 0.1680 0.6267 0.5169 x4
Fe 0.3669 0.1010 0.7728 x4
P 0.1412 0.6079 0.8500 x4
P 0.3653 0.1404 0.0966 x4
O 0.0728 0.0226 0.6678 x4
O 0.1222 0.6877 0.9785 x4
O 0.1521 0.0557 0.0736 x4
O 0.1610 0.6866 0.7194 x4
O 0.3041 0.2252 0.2121 x4
O 0.3760 0.5351 0.8706 x4
O 0.4048 0.5685 0.3679 x4
O 0.4146 0.2056 0.9604 x4

## Properties
- Uncorrected energy: -6.78 eV per atom
- Energy above the lowest structure with this stoichiometry: 0.050 eV/atom